AlCuHg2 after structural relaxation, computed with GGA-PBE.

```
4
Lattice="0.000 3.392 3.392 3.392 0.000 3.392 3.392 3.392 0.000" Properties=species:S:1:pos:R:3 pbc="T T T"
Cu 1.696 1.696 1.696
Hg 0.000 0.000 0.000
Al 3.392 3.392 3.392
Hg 5.089 5.089 5.089
```

## Properties
For the total DFT energy (no corrections), the calculation gives -1.707 eV/atom. Its calculated volume is 19.52 A^3/atom. As for the mass density: 10.46 Mg/m³.

***

CsCuTe3W after structural relaxation, computed with GGA-PBE.

```
12
Lattice="-3.077 -4.077 -7.203 -3.290 -6.985 -4.285 -9.847 3.152 2.423" Properties=species:S:1:pos:R:3 pbc="T T T"
Cu -10.377 -2.833 -3.580
Cs -4.014 -1.908 -2.194
Te -7.856 -2.623 -3.187
Te -4.305 -6.584 -6.875
Cu -5.838 -5.077 -5.485
Te -11.910 -1.326 -2.190
W 0.000 0.000 0.000
Te -8.359 -5.286 -5.877
Cs -12.201 -6.002 -6.871
Te -7.792 1.658 1.083
Te -8.423 -9.567 -10.148
W -4.924 1.576 1.211
```

## Properties
For the total DFT energy (no corrections), the calculation gives -4.629 eV/atom. For the magnetic moment, the calculation gives 0.332 μB/atom. Its calculated volume is 31.34 A^3/atom. As for the mass density: 6.74 Mg/m³.

***

SrIn2Cu2 after structural relaxation, computed with GGA-PBE.

```
5
Lattice="-2.230 2.230 5.614 2.230 -2.230 5.614 2.230 2.230 -5.614" Properties=species:S:1:pos:R:3 pbc="T T T"
Cu 0.000 0.000 4.379
In 0.000 2.230 2.807
Sr 0.000 0.000 0.000
Cu 0.000 0.000 6.849
In 2.230 0.000 2.807
```

## Properties
For the total DFT energy (no corrections), the calculation gives -3.114 eV/atom. Its calculated volume is 22.33 A^3/atom. As for the mass density: 6.61 Mg/m³.

***

Er2CoSiGe after structural relaxation, computed with GGA-PBE.

```
10
Lattice="-2.287 2.701 4.309 -5.143 0.880 1.966 4.109 -8.957 1.954" Properties=species:S:1:pos:R:3 pbc="T T T"
Ge -3.072 0.582 3.292
Co -3.856 -0.816 5.335
Ge -0.250 -5.957 4.936
Si -2.503 -2.747 5.187
Si -0.818 -2.628 3.041
Er -2.408 -5.043 6.856
Co 0.534 -4.559 2.893
Er -4.686 -2.398 7.577
Er 1.364 -2.977 0.652
Er -0.914 -0.332 1.373
```

## Properties
For the total DFT energy (no corrections), the calculation gives -6.055 eV/atom. For the magnetic moment, the calculation gives 0.009 μB/atom. Its calculated volume is 18.77 A^3/atom. As for the mass density: 8.75 Mg/m³.

***

HfFeP after structural relaxation, computed with GGA-PBE.

```
12
Lattice="-5.099 3.398 1.117 -1.935 -2.125 -2.368 -1.716 -4.307 5.269" Properties=species:S:1:pos:R:3 pbc="T T T"
Hf -5.093 -2.898 2.371
Hf -7.867 -1.763 3.619
P -3.228 -2.513 0.501
Fe -6.540 -0.587 1.479
Hf -0.883 -1.271 0.399
P -5.311 0.356 -0.372
Fe -3.348 -0.671 -1.054
P -5.521 -0.521 3.516
Hf -3.657 -0.136 1.646
Fe -2.210 -2.447 2.538
P -3.438 -3.391 4.390
Fe -5.402 -2.363 5.072
```

## Properties
For the total DFT energy (no corrections), the calculation gives -8.937 eV/atom. For the magnetic moment, the calculation gives 0.055 μB/atom. Its calculated volume is 13.56 A^3/atom. As for the mass density: 10.83 Mg/m³.

***

KTbHgTe3 after structural relaxation, computed with GGA-PBE.

```
12
Lattice="10.219 -2.226 0.000 10.219 2.226 0.000 -2.022 0.000 9.489" Properties=species:S:1:pos:R:3 pbc="T T T"
Te 5.217 0.000 6.642
Hg 8.018 0.000 7.395
Te 12.003 0.000 8.151
K 16.717 0.000 4.094
Tb 14.988 0.000 8.749
Tb 3.428 0.000 0.740
Te 6.413 0.000 1.338
Hg 10.398 0.000 2.094
Te 13.199 0.000 2.847
Te 0.000 0.000 0.000
Te 9.208 0.000 4.745
K 1.700 0.000 5.395
```

## Properties
For the total DFT energy (no corrections), the calculation gives -3.453 eV/atom. For the magnetic moment, the calculation gives 0.001 μB/atom. Its calculated volume is 35.98 A^3/atom. As for the mass density: 6.01 Mg/m³.

***

InHg3WSe4 after structural relaxation, computed with GGA-PBE.

```
9
Lattice="-6.221 1.535 3.563 0.355 -6.480 3.412 3.864 3.068 5.424" Properties=species:S:1:pos:R:3 pbc="T T T"
Se -0.628 -0.589 3.886
Hg 2.110 -1.706 4.418
Hg -2.933 -2.473 3.488
Se 0.947 -1.862 7.183
Se -1.507 1.129 7.240
W -1.001 -0.939 6.200
In 0.000 0.000 0.000
Se -2.816 -2.434 6.489
Hg -1.179 2.301 4.494
```

## Properties
For the total DFT energy (no corrections), the calculation gives -3.287 eV/atom. For the magnetic moment, the calculation gives 0.001 μB/atom. Its calculated volume is 43.79 A^3/atom. As for the mass density: 5.12 Mg/m³.

***

Gd3Tl4SnPb2 after structural relaxation, computed with GGA-PBE.

```
10
Lattice="2.324 -12.795 0.000 2.324 12.795 0.000 0.000 0.000 4.672" Properties=species:S:1:pos:R:3 pbc="T T T"
Sn 2.324 0.000 0.000
Pb 2.324 -5.253 0.000
Gd 2.324 -7.976 2.336
Gd 0.000 0.000 2.336
Pb 2.324 5.253 0.000
Tl 2.324 10.314 0.000
Gd 2.324 7.976 2.336
Tl 2.324 -10.314 0.000
Tl 2.324 -2.465 2.336
Tl 2.324 2.465 2.336
```

## Properties
For the total DFT energy (no corrections), the calculation gives -3.854 eV/atom. For the magnetic moment, the calculation gives 0.001 μB/atom. Its calculated volume is 27.79 A^3/atom. As for the mass density: 10.89 Mg/m³.

***

Pr21Fe8Bi7C12 after structural relaxation, computed with GGA-PBE.

```
48
Lattice="0.000 8.160 8.160 8.160 0.000 8.160 8.160 8.160 0.000" Properties=species:S:1:pos:R:3 pbc="T T T"
Pr 5.367 0.000 5.367
Bi 0.000 0.000 0.000
C 4.080 4.080 1.770
Bi 8.160 8.160 4.726
Pr 5.367 8.160 2.793
Pr 10.392 5.928 10.392
Pr 5.367 2.793 8.160
Bi 11.594 8.160 8.160
Pr 2.793 8.160 5.367
C 12.240 12.240 14.550
Pr 5.928 10.392 10.392
Pr 5.367 5.367 0.000
Pr 0.000 5.367 5.367
C 4.080 4.080 6.390
Pr 5.928 5.928 5.928
Fe 11.355 11.355 13.125
Fe 13.125 11.355 11.355
Pr 5.928 10.392 5.928
Fe 13.125 13.125 13.125
Pr 2.793 2.793 0.000
Fe 3.195 3.195 3.195
C 4.080 6.390 4.080
Bi 8.160 4.726 8.160
Pr 8.160 8.160 8.160
Fe 11.355 13.125 11.355
Bi 8.160 8.160 11.594
C 1.770 4.080 4.080
Pr 2.793 0.000 2.793
C 6.390 4.080 4.080
C 12.240 9.930 12.240
Fe 4.965 3.195 4.965
Pr 0.000 2.793 2.793
Fe 3.195 4.965 4.965
Pr 8.160 2.793 5.367
Pr 2.793 5.367 8.160
Bi 8.160 11.594 8.160
Pr 8.160 5.367 2.793
Pr 10.392 10.392 10.392
C 4.080 1.770 4.080
C 14.550 12.240 12.240
C 12.240 12.240 9.930
C 12.240 14.550 12.240
Bi 4.726 8.160 8.160
Pr 10.392 5.928 5.928
Fe 4.965 4.965 3.195
C 9.930 12.240 12.240
Pr 10.392 10.392 5.928
Pr 5.928 5.928 10.392
```

## Properties
For the total DFT energy (no corrections), the calculation gives -6.880 eV/atom. For the magnetic moment, the calculation gives 0.045 μB/atom. Its calculated volume is 22.64 A^3/atom. As for the mass density: 7.66 Mg/m³.

***

Ho4GaFe2Ge4 after structural relaxation, computed with GGA-PBE.

```
11
Lattice="-7.588 1.463 1.660 -7.648 -1.030 -1.713 1.817 -5.360 3.930" Properties=species:S:1:pos:R:3 pbc="T T T"
Ga 0.000 0.000 0.000
Ge -13.594 -1.410 1.280
Ho -8.185 -4.767 3.667
Ho -5.138 -3.119 2.395
Ge -10.749 -3.560 2.819
Ho -8.281 -1.809 1.482
Ge 0.175 -3.518 2.597
Ge -2.670 -1.368 1.058
Fe -2.215 -3.282 2.464
Ho -5.233 -0.161 0.210
Fe -11.204 -1.646 1.413
```

## Properties
For the total DFT energy (no corrections), the calculation gives -5.800 eV/atom. For the magnetic moment, the calculation gives 0.001 μB/atom. Its calculated volume is 19.18 A^3/atom. As for the mass density: 8.91 Mg/m³.

***

PrGdS2F2 after structural relaxation, computed with GGA-PBE.

```
6
Lattice="-2.409 -1.464 -2.643 -0.009 -3.377 1.879 -5.392 2.101 3.752" Properties=species:S:1:pos:R:3 pbc="T T T"
S -4.713 -1.055 2.056
Pr -2.445 -1.939 0.478
S -1.954 0.761 1.359
F -6.567 1.357 2.409
F -5.367 0.401 4.670
Gd -4.151 1.618 2.888
```

## Properties
For the total DFT energy (no corrections), the calculation gives -6.568 eV/atom. For the magnetic moment, the calculation gives 0.000 μB/atom. Its calculated volume is 17.17 A^3/atom. As for the mass density: 6.45 Mg/m³.

***

Bi3Os after structural relaxation, computed with GGA-PBE.

```
16
Lattice="8.944 0.000 0.000 0.000 4.272 0.000 0.000 0.000 11.754" Properties=species:S:1:pos:R:3 pbc="T T T"
Bi 6.267 3.204 1.324
Bi 0.908 3.204 1.036
Bi 5.318 3.204 9.666
Bi 8.036 1.068 10.719
Os 8.050 3.204 5.646
Os 5.366 1.068 11.523
Bi 7.149 1.068 7.201
Os 3.578 3.204 0.231
Bi 1.795 3.204 4.553
Bi 5.380 3.204 4.841
Bi 3.626 1.068 2.089
Bi 8.098 1.068 3.789
Os 0.894 1.068 6.108
Bi 0.846 3.204 7.966
Bi 3.564 1.068 6.913
Bi 2.677 1.068 10.430
```

## Properties
For the total DFT energy (no corrections), the calculation gives -5.605 eV/atom. For the magnetic moment, the calculation gives 0.001 μB/atom. Its calculated volume is 28.07 A^3/atom. As for the mass density: 12.09 Mg/m³.